# Rb3WF, relaxed, DFT PBE with a Hubbard U
# Magnetic moment: 5.9 μB/cell
# Energy above the most stable polymorph in this dataset: 0.000 eV per atom
data_Rb3WF
_cell_length_a 5.7957
_cell_length_b 5.7957
_cell_length_c 5.7957
_cell_angle_alpha 90.00
_cell_angle_beta 90.00
_cell_angle_gamma 90.00
_symmetry_space_group_name_H-M 'P m -3 m'
_symmetry_Int_Tables_number 221
_symmetry_space_group_name_Hall '-P 4 2 3'
loop_
_atom_site_label
_atom_site_fract_x
_atom_site_fract_y
_atom_site_fract_z
Rb1 0.0000 0.0000 0.5000
W1 0.5000 0.5000 0.5000
F1 0.0000 0.0000 0.0000